Record 1
The following is a DFT calculation (GGA-PBE) of Tb3Pm6Sm2Tl after structural relaxation.

## Properties
Its formation energy is -0.02 eV per atom.

Cell lengths 6.216, 6.216, 11.876 Å; angles 95.04, 95.04, 120.13 degrees
Atoms (fractional coordinates):
Tb: 0.000 0.000 0.000
Tb: 0.332 0.668 0.000
Tb: 0.668 0.332 0.000
Pm: 0.090 0.417 0.251
Pm: 0.256 0.256 0.751
Pm: 0.417 0.090 0.251
Pm: 0.583 0.910 0.749
Pm: 0.744 0.744 0.249
Pm: 0.910 0.583 0.749
Sm: 0.166 0.834 0.500
Sm: 0.834 0.166 0.500
Tl: 0.500 0.500 0.500

Record 2
The following is a DFT calculation (GGA-PBE) of TbPmSm2Tl2 after structural relaxation.

## Properties
Its formation energy is -0.27 eV per atom.

Cell lengths 5.202, 10.179, 6.887 Å; angles 90.00, 90.00, 90.00 degrees
Atoms (fractional coordinates):
Tb: 0.000 0.187 0.000
Tb: 0.000 0.813 0.500
Pm: 0.500 0.043 0.278
Pm: 0.500 0.957 0.778
Sm: 0.000 0.456 0.369
Sm: 0.000 0.544 0.869
Sm: 0.500 0.317 0.646
Sm: 0.500 0.683 0.146
Tl: 0.000 0.133 0.537
Tl: 0.000 0.867 0.037
Tl: 0.500 0.361 0.114
Tl: 0.500 0.639 0.614

Record 3
The following is a DFT calculation (GGA-PBE) of TbPmSm2Tl4 after structural relaxation.

## Properties
Its formation energy is -0.37 eV per atom.

Cell lengths 9.448, 9.448, 9.448 Å; angles 33.51, 33.51, 33.51 degrees
Atoms (fractional coordinates):
Tb: 0.000 0.000 0.000
Pm: 0.500 0.500 0.500
Sm: 0.250 0.250 0.250
Sm: 0.750 0.750 0.750
Tl: 0.124 0.124 0.124
Tl: 0.374 0.374 0.374
Tl: 0.626 0.626 0.626
Tl: 0.876 0.876 0.876

Record 4
The following is a DFT calculation (GGA-PBE) of Tb3Pm2Sm6Tl after structural relaxation.

## Properties
Its formation energy is -0.03 eV per atom.

Cell lengths 6.196, 6.196, 11.864 Å; angles 95.02, 95.02, 120.09 degrees
Atoms (fractional coordinates):
Tb: 0.000 0.000 0.000
Tb: 0.333 0.667 0.000
Tb: 0.667 0.333 0.000
Pm: 0.166 0.834 0.500
Pm: 0.834 0.166 0.500
Sm: 0.090 0.417 0.250
Sm: 0.256 0.256 0.751
Sm: 0.417 0.090 0.250
Sm: 0.583 0.910 0.750
Sm: 0.744 0.744 0.249
Sm: 0.910 0.583 0.750
Tl: 0.500 0.500 0.500

Record 5
The following is a DFT calculation (GGA-PBE) of Tb6Pm2SmTm after structural relaxation.

## Properties
Its formation energy is 0.12 eV per atom.

Cell lengths 8.805, 8.805, 9.687 Å; angles 94.33, 94.33, 118.00 degrees
Atoms (fractional coordinates):
Tb: 0.018 0.572 0.187
Tb: 0.124 0.746 0.557
Tb: 0.254 0.876 0.943
Tb: 0.293 0.506 0.381
Tb: 0.428 0.982 0.313
Tb: 0.494 0.707 0.119
Tb: 0.506 0.293 0.881
Tb: 0.572 0.018 0.687
Tb: 0.707 0.494 0.619
Tb: 0.746 0.124 0.057
Tb: 0.876 0.254 0.443
Tb: 0.982 0.428 0.813
Pm: 0.197 0.299 0.043
Pm: 0.299 0.197 0.543
Pm: 0.701 0.803 0.457
Pm: 0.803 0.701 0.957
Sm: 0.020 0.980 0.250
Sm: 0.980 0.020 0.750
Tm: 0.408 0.592 0.750
Tm: 0.592 0.408 0.250

Record 6
The following is a DFT calculation (GGA-PBE) of TbPmSmTm3 after structural relaxation.

## Properties
Its formation energy is 0.12 eV per atom.

Cell lengths 6.337, 6.337, 11.666 Å; angles 90.00, 90.00, 125.23 degrees
Atoms (fractional coordinates):
Tb: 0.175 0.825 0.750
Tb: 0.825 0.175 0.250
Pm: 0.494 0.506 0.750
Pm: 0.506 0.494 0.250
Sm: 0.000 0.000 0.000
Sm: 0.000 0.000 0.500
Tm: 0.168 0.832 0.250
Tm: 0.328 0.672 0.006
Tm: 0.328 0.672 0.494
Tm: 0.672 0.328 0.506
Tm: 0.672 0.328 0.994
Tm: 0.832 0.168 0.750

Record 7
The following is a DFT calculation (GGA-PBE) of Tb2Pm4SmTm2 after structural relaxation.

## Properties
Its formation energy is 0.02 eV per atom.

Cell lengths 8.039, 8.039, 8.024 Å; angles 107.46, 107.46, 36.77 degrees
Atoms (fractional coordinates):
Tb: 0.112 0.112 0.168
Tb: 0.888 0.888 0.832
Pm: 0.223 0.223 0.831
Pm: 0.445 0.445 0.169
Pm: 0.555 0.555 0.831
Pm: 0.777 0.777 0.169
Sm: 0.000 0.000 0.500
Tm: 0.332 0.332 0.500
Tm: 0.668 0.668 0.500

Record 8
The following is a DFT calculation (GGA-PBE) of TbPm2Sm3Tm6 after structural relaxation.

## Properties
Its formation energy is 0.02 eV per atom.

Cell lengths 6.170, 6.170, 11.684 Å; angles 95.03, 95.03, 119.98 degrees
Atoms (fractional coordinates):
Tb: 0.000 0.000 0.000
Pm: 0.333 0.667 0.000
Pm: 0.667 0.333 0.000
Sm: 0.167 0.833 0.500
Sm: 0.500 0.500 0.500
Sm: 0.833 0.167 0.500
Tm: 0.084 0.417 0.250
Tm: 0.249 0.249 0.750
Tm: 0.417 0.084 0.250
Tm: 0.583 0.916 0.750
Tm: 0.751 0.751 0.250
Tm: 0.916 0.583 0.750

Record 9
The following is a DFT calculation (GGA-PBE) of Tb6PmSmTm2 after structural relaxation.

## Properties
Its formation energy is 0.12 eV per atom.

Cell lengths 8.778, 8.778, 9.539 Å; angles 93.64, 93.64, 117.11 degrees
Atoms (fractional coordinates):
Tb: 0.019 0.565 0.181
Tb: 0.116 0.755 0.556
Tb: 0.245 0.884 0.944
Tb: 0.294 0.512 0.382
Tb: 0.435 0.981 0.319
Tb: 0.488 0.706 0.118
Tb: 0.512 0.294 0.882
Tb: 0.565 0.019 0.681
Tb: 0.706 0.488 0.618
Tb: 0.755 0.116 0.056
Tb: 0.884 0.245 0.444
Tb: 0.981 0.435 0.819
Pm: 0.408 0.592 0.750
Pm: 0.592 0.408 0.250
Sm: 0.029 0.971 0.250
Sm: 0.971 0.029 0.750
Tm: 0.197 0.299 0.047
Tm: 0.299 0.197 0.547
Tm: 0.701 0.803 0.453
Tm: 0.803 0.701 0.953

Record 10
The following is a DFT calculation (GGA-PBE) of TbPm2SmTm6 after structural relaxation.

## Properties
Its formation energy is 0.12 eV per atom.

Cell lengths 8.715, 8.715, 9.611 Å; angles 94.51, 94.51, 118.07 degrees
Atoms (fractional coordinates):
Tb: 0.093 0.907 0.750
Tb: 0.907 0.093 0.250
Pm: 0.203 0.307 0.957
Pm: 0.307 0.203 0.457
Pm: 0.693 0.797 0.543
Pm: 0.797 0.693 0.043
Sm: 0.481 0.519 0.250
Sm: 0.519 0.481 0.750
Tm: 0.006 0.793 0.381
Tm: 0.074 0.523 0.185
Tm: 0.207 0.994 0.119
Tm: 0.242 0.624 0.558
Tm: 0.376 0.758 0.942
Tm: 0.477 0.926 0.315
Tm: 0.523 0.074 0.685
Tm: 0.624 0.242 0.058
Tm: 0.758 0.376 0.442
Tm: 0.793 0.006 0.881
Tm: 0.926 0.477 0.815
Tm: 0.994 0.207 0.619

Record 11
The following is a DFT calculation (GGA-PBE) of Tb3Pm6Sm2Tm after structural relaxation.

## Properties
Its formation energy is 0.01 eV per atom.

Cell lengths 6.260, 6.260, 11.934 Å; angles 95.01, 95.01, 119.99 degrees
Atoms (fractional coordinates):
Tb: 0.000 0.000 0.000
Tb: 0.334 0.666 0.000
Tb: 0.666 0.334 0.000
Pm: 0.084 0.416 0.249
Pm: 0.251 0.251 0.751
Pm: 0.416 0.084 0.249
Pm: 0.584 0.916 0.751
Pm: 0.749 0.749 0.249
Pm: 0.916 0.584 0.751
Sm: 0.167 0.833 0.500
Sm: 0.833 0.167 0.500
Tm: 0.500 0.500 0.500

Record 12
The following is a DFT calculation (GGA-PBE) of TbPm2SmTm after structural relaxation.

## Properties
Its formation energy is 0.41 eV per atom.

Cell lengths 7.154, 7.154, 7.249 Å; angles 90.00, 90.00, 108.04 degrees
Atoms (fractional coordinates):
Tb: 0.010 0.990 0.750
Tb: 0.990 0.010 0.250
Pm: 0.309 0.309 0.000
Pm: 0.309 0.309 0.500
Pm: 0.691 0.691 0.000
Pm: 0.691 0.691 0.500
Sm: 0.276 0.724 0.750
Sm: 0.724 0.276 0.250
Tm: 0.269 0.731 0.250
Tm: 0.731 0.269 0.750

Record 13
The following is a DFT calculation (GGA-PBE) of TbPm4Sm2Tm2 after structural relaxation.

## Properties
Its formation energy is 0.02 eV per atom.

Cell lengths 8.062, 8.062, 8.029 Å; angles 107.55, 107.55, 36.84 degrees
Atoms (fractional coordinates):
Tb: 0.000 0.000 0.000
Pm: 0.222 0.222 0.330
Pm: 0.445 0.445 0.669
Pm: 0.555 0.555 0.331
Pm: 0.778 0.778 0.670
Sm: 0.112 0.112 0.669
Sm: 0.888 0.888 0.331
Tm: 0.333 0.333 0.000
Tm: 0.667 0.667 0.000

Record 14
The following is a DFT calculation (GGA-PBE) of TbPm6Sm3Tm2 after structural relaxation.

## Properties
Its formation energy is 0.02 eV per atom.

Cell lengths 6.261, 6.261, 11.919 Å; angles 95.02, 95.02, 119.99 degrees
Atoms (fractional coordinates):
Tb: 0.000 0.000 0.000
Pm: 0.083 0.417 0.247
Pm: 0.251 0.251 0.753
Pm: 0.417 0.083 0.247
Pm: 0.583 0.917 0.753
Pm: 0.749 0.749 0.247
Pm: 0.917 0.583 0.753
Sm: 0.167 0.833 0.500
Sm: 0.500 0.500 0.500
Sm: 0.833 0.167 0.500
Tm: 0.333 0.667 0.000
Tm: 0.667 0.333 0.000

Record 15
The following is a DFT calculation (GGA-PBE) of Tb3Pm2SmTm6 after structural relaxation.

## Properties
Its formation energy is 0.02 eV per atom.

Cell lengths 6.147, 6.147, 11.669 Å; angles 95.03, 95.03, 119.97 degrees
Atoms (fractional coordinates):
Tb: 0.000 0.000 0.000
Tb: 0.333 0.667 0.000
Tb: 0.667 0.333 0.000
Pm: 0.167 0.833 0.500
Pm: 0.833 0.167 0.500
Sm: 0.500 0.500 0.500
Tm: 0.082 0.415 0.248
Tm: 0.252 0.252 0.752
Tm: 0.415 0.082 0.248
Tm: 0.585 0.918 0.752
Tm: 0.748 0.748 0.248
Tm: 0.918 0.585 0.752

Record 16
The following is a DFT calculation (GGA-PBE) of TbPmSm3Tm after structural relaxation.

## Properties
Its formation energy is 0.02 eV per atom.

Cell lengths 8.046, 8.046, 10.188 Å; angles 90.00, 90.00, 143.26 degrees
Atoms (fractional coordinates):
Tb: 0.000 0.000 0.000
Tb: 0.000 0.000 0.500
Pm: 0.499 0.501 0.750
Pm: 0.501 0.499 0.250
Sm: 0.168 0.832 0.750
Sm: 0.334 0.666 0.000
Sm: 0.334 0.666 0.500
Sm: 0.666 0.334 0.000
Sm: 0.666 0.334 0.500
Sm: 0.832 0.168 0.250
Tm: 0.167 0.833 0.250
Tm: 0.833 0.167 0.750

Record 17
The following is a DFT calculation (GGA-PBE) of Tb2PmSm6Tm3 after structural relaxation.

## Properties
Its formation energy is 0.02 eV per atom.

Cell lengths 6.214, 6.214, 11.822 Å; angles 95.01, 95.01, 119.98 degrees
Atoms (fractional coordinates):
Tb: 0.167 0.833 0.000
Tb: 0.833 0.167 0.000
Pm: 0.500 0.500 0.000
Sm: 0.082 0.415 0.747
Sm: 0.251 0.251 0.253
Sm: 0.415 0.082 0.747
Sm: 0.585 0.918 0.253
Sm: 0.749 0.749 0.747
Sm: 0.918 0.585 0.253
Tm: 0.000 0.000 0.500
Tm: 0.333 0.667 0.500
Tm: 0.667 0.333 0.500

Record 18
The following is a DFT calculation (GGA-PBE) of Tb2Pm2SmTm after structural relaxation.

## Properties
Its formation energy is 0.26 eV per atom.

Cell lengths 6.630, 17.947, 3.387 Å; angles 90.00, 90.00, 90.00 degrees
Atoms (fractional coordinates):
Tb: 0.231 0.147 0.000
Tb: 0.269 0.647 0.500
Tb: 0.731 0.353 0.500
Tb: 0.769 0.853 0.000
Pm: 0.234 0.316 0.500
Pm: 0.266 0.816 0.000
Pm: 0.734 0.184 0.000
Pm: 0.766 0.684 0.500
Sm: 0.000 0.000 0.500
Sm: 0.500 0.500 0.000
Tm: 0.000 0.500 0.500
Tm: 0.500 0.000 0.000

Record 19
The following is a DFT calculation (GGA-PBE) of TbPmSm4Tm2 after structural relaxation.

## Properties
Its formation energy is 0.02 eV per atom.

Cell lengths 5.073, 5.089, 10.098 Å; angles 90.00, 90.04, 90.00 degrees
Atoms (fractional coordinates):
Tb: 0.000 0.000 0.000
Pm: 0.500 0.500 0.500
Sm: 0.000 0.500 0.248
Sm: 0.000 0.500 0.752
Sm: 0.500 0.000 0.249
Sm: 0.500 0.000 0.751
Tm: 0.000 0.000 0.500
Tm: 0.500 0.500 0.000

Record 20
The following is a DFT calculation (GGA-PBE) of Tb2Pm5SmTm after structural relaxation.

## Properties
Its formation energy is 0.14 eV per atom.

Cell lengths 10.554, 10.554, 10.709 Å; angles 90.00, 90.00, 148.97 degrees
Atoms (fractional coordinates):
Tb: 0.111 0.889 0.500
Tb: 0.116 0.884 0.078
Tb: 0.884 0.116 0.578
Tb: 0.889 0.111 0.000
Pm: 0.016 0.984 0.783
Pm: 0.281 0.719 0.072
Pm: 0.298 0.702 0.467
Pm: 0.390 0.610 0.786
Pm: 0.481 0.519 0.505
Pm: 0.519 0.481 0.005
Pm: 0.610 0.390 0.286
Pm: 0.702 0.298 0.967
Pm: 0.719 0.281 0.572
Pm: 0.984 0.016 0.283
Sm: 0.201 0.799 0.772
Sm: 0.799 0.201 0.272
Tm: 0.409 0.591 0.223
Tm: 0.591 0.409 0.723

| no. | volume (A^3/atom) | energy (eV per atom) | DOS at the Fermi energy (states/eV/cell) |
| --- | --- | --- | --- |
| 1 | 32.56 | -4.540 | 14.0 |
| 2 | 30.39 | -4.198 | 13.3 |
| 3 | 28.62 | -3.907 | 6.6 |
| 4 | 32.33 | -4.532 | 14.3 |
| 5 | 32.80 | -4.532 | 27.3 |
| 6 | 31.89 | -4.468 | 24.9 |
| 7 | 32.72 | -4.639 | 13.1 |
| 8 | 31.61 | -4.576 | 13.5 |
| 9 | 32.47 | -4.498 | 29.8 |
| 10 | 31.83 | -4.448 | 27.8 |
| 11 | 33.23 | -4.679 | 15.2 |
| 12 | 35.28 | -4.254 | 15.5 |
| 13 | 32.96 | -4.648 | 13.9 |
| 14 | 33.20 | -4.671 | 15.2 |
| 15 | 31.34 | -4.559 | 14.7 |
| 16 | 32.88 | -4.651 | 17.1 |
| 17 | 32.44 | -4.629 | 14.4 |
| 18 | 33.59 | -4.396 | 19.8 |
| 19 | 32.59 | -4.633 | 11.0 |
| 20 | 34.16 | -4.547 | 28.5 |